# 1
Below is an optimized crystal structure of MnCuSiP, with properties calculated at the PBE level.

Computed properties:
Energy above the most stable polymorph in this dataset: 138 meV/atom

Cell lengths 3.3630, 4.2458, 4.3038 Å; angles 101.47, 113.00, 90.00 degrees
Last column: nearest neighbours and their distance in Å.
Fractional positions:
P  0.3360  0.1815  0.5562  2 Mn 2.16-2.19, 1 Si 2.29, 1 Cu 2.38
Si  0.0971  0.7654  0.0785  3 Mn 2.28-2.46, 1 P 2.29
Mn  0.3984  0.7031  0.6813  2 P 2.16-2.19, 2 Si 2.28
Cu  0.6426  0.3265  0.1708  3 P 2.38-2.44, 2 Si 2.59-2.60

# 2
Below is an optimized crystal structure of Sm2RuBr, with properties calculated at the PBE level.

Computed properties:
Energy above the most stable polymorph in this dataset: 0 meV/atom

Cell lengths 4.0522, 4.0522, 8.1123 Å; angles 75.54, 75.54, 60.00 degrees
Last column: nearest neighbours and their distance in Å.
Fractional positions:
Sm  0.2681  0.2681  0.1958  3 Ru 2.79
Sm  0.7319  0.7319  0.8042  3 Ru 2.79
Ru  0.0000  0.0000  0.0000  6 Sm 2.79
Br  0.5000  0.5000  0.5000  6 Sm 3.33

# 3
Below is an optimized crystal structure of LaAlRh2Br, with properties calculated at the PBE level.

Cell lengths 4.5985, 4.5985, 5.2675 Å; angles 90.00, 90.00, 90.00 degrees
Last column: nearest neighbours and their distance in Å.
Fractional positions:
Rh  0.0000  0.5000  0.0000  2 Al 2.30
Rh  0.5000  0.0000  0.0000  2 Al 2.30
Al  0.0000  0.0000  0.0000  4 Rh 2.30
Br  0.0000  0.0000  0.5000  2 Al 2.63
La  0.5000  0.5000  0.5000  4 Br 3.25, 8 Rh 3.50

Number 1: total DFT energy (no corrections) -24.2 eV/f.u., density of states at the Fermi level 1.3 states/eV per cell. Number 2: total DFT energy (no corrections) -23.4 eV/f.u., density of states at the Fermi level 2.6 states/eV per cell. Number 3: total DFT energy (no corrections) -26.4 eV/f.u., density of states at the Fermi level 2.3 states/eV per cell.